This record from Alexandria via LeMat-Bulk describes CdCu2Sb after structural relaxation. The functional is PBE.

Computed properties:
The uncorrected formation energy comes out at 76.9 kJ/mol of formula units. The total energy comes out at -0.114 Ha/atom. Its total magnetization is 0.0 μB/f.u. The value obtained for the energy above the lowest structure with this stoichiometry is 113 meV per atom.

Cell lengths 4.242, 4.242, 7.956 Å; angles 90.00, 90.00, 90.00 degrees
Space group I4/mmm (No. 139)
Asymmetric unit:
Cd 0.000 0.000 0.000 [2 per cell]
Cu 0.000 0.500 0.250 [4 per cell]
Sb 0.000 0.000 0.500 [2 per cell]